Compound: NpH3
Source: Alexandria via LeMat-Bulk
Functional: PBEsol
Structure: relaxed

Summary:
Final energy, eV/atom: -6.10

abc: 3.2580 3.2580 3.8336
angles: 115.15 115.15 90.00
With the nearest neighbours (Å) after each atom.
Element x y z (fractional)
Np  0.0000  0.0000  0.0000  12 H 2.24-2.30
H  0.2500  0.7500  0.5000  8 H 2.24-2.30, 4 Np 2.24
H  0.7500  0.2500  0.5000  8 H 2.24-2.30, 4 Np 2.24
H  0.5000  0.5000  0.0000  8 H 2.24, 4 Np 2.30